No. 1
CsRb2In: relaxed, PBE.

a = 4.8335 Å, b = 4.8335 Å, c = 11.5240 Å
α = 90.00°, β = 90.00°, γ = 90.00°
Sites, in units of the cell vectors:
Cs  0.5000  0.5000  0.5000
Rb  0.0000  0.0000  0.8232
Rb  0.0000  0.0000  0.1768
In  0.5000  0.5000  0.0000

Values from the calculation:
Its calculated volume is 269.2 Å³/f.u. As for the space group: No. 123. The calculation puts the formation energy at 0.0782 eV per atom. The relative energy among the computed polymorphs comes out at 0.000 eV per atom. As for the total moment: 0.0 Bohr magnetons per cell.


No. 2
CsRbIn2: relaxed, PBE.

a = 5.1439 Å, b = 7.6768 Å, c = 10.9026 Å
α = 109.63°, β = 90.00°, γ = 90.00°
Sites, in units of the cell vectors:
Cs  0.7500  0.7442  0.4412
Cs  0.2500  0.2558  0.5588
Rb  0.7500  0.1594  0.1608
Rb  0.2500  0.8406  0.8392
In  0.7500  0.6223  0.0250
In  0.2500  0.3777  0.9750
In  0.7500  0.2273  0.8142
In  0.2500  0.7727  0.1858

Values from the calculation:
Its calculated volume is 202.8 Å³/f.u. As for the space group: No. 11. The calculation puts the formation energy at -0.0631 eV per atom. The relative energy among the computed polymorphs comes out at 0.000 eV per atom. As for the total moment: 0.0 Bohr magnetons per cell.


No. 3
Cs2Rb4In: relaxed, PBE.

a = 7.3128 Å, b = 7.3128 Å, c = 12.9568 Å
α = 73.61°, β = 73.61°, γ = 90.00°
Sites, in units of the cell vectors:
Cs  0.3585  0.3585  0.2830
Cs  0.6415  0.6415  0.7170
Rb  0.1575  0.1575  0.6850
Rb  0.8425  0.8425  0.3150
Rb  0.0000  0.5000  0.0000
Rb  0.5000  0.0000  0.0000
In  0.0000  0.0000  0.0000

Values from the calculation:
Its calculated volume is 635.3 Å³/f.u. As for the space group: No. 139. The calculation puts the formation energy at 0.0733 eV per atom. As for the total moment: 0.0 Bohr magnetons per cell.


No. 4
Cs4Rb2In: relaxed, PBE.

a = 7.5622 Å, b = 7.5622 Å, c = 13.2458 Å
α = 106.59°, β = 106.59°, γ = 90.00°
Sites, in units of the cell vectors:
Cs  0.8353  0.8353  0.6706
Cs  0.1647  0.1647  0.3294
Cs  0.0000  0.5000  0.0000
Cs  0.5000  0.0000  0.0000
Rb  0.6362  0.6362  0.2725
Rb  0.3638  0.3638  0.7275
In  0.0000  0.0000  0.0000

Values from the calculation:
Its calculated volume is 693.0 Å³/f.u. As for the space group: No. 139. The calculation puts the formation energy at 0.0898 eV per atom. As for the total moment: 0.0 Bohr magnetons per cell.


No. 5
Cs2RbIn2: relaxed, PBE.

a = 9.5504 Å, b = 9.5504 Å, c = 6.4423 Å
α = 90.00°, β = 90.00°, γ = 90.00°
Sites, in units of the cell vectors:
Cs  0.1759  0.6759  0.5000
Cs  0.6759  0.8241  0.5000
Cs  0.8241  0.3241  0.5000
Cs  0.3241  0.1759  0.5000
Rb  0.0000  0.0000  0.0000
Rb  0.5000  0.5000  0.0000
In  0.3946  0.8946  0.0000
In  0.8946  0.6054  0.0000
In  0.6054  0.1054  0.0000
In  0.1054  0.3946  0.0000

Values from the calculation:
Its calculated volume is 293.8 Å³/f.u. As for the space group: No. 127. The calculation puts the formation energy at 0.0361 eV per atom. The relative energy among the computed polymorphs comes out at 0.055 eV per atom. As for the total moment: 0.0 Bohr magnetons per cell.


No. 6
Cs2RbIn2: relaxed, PBE.

a = 6.1810 Å, b = 6.1810 Å, c = 8.9715 Å
α = 69.85°, β = 69.85°, γ = 90.00°
Sites, in units of the cell vectors:
Cs  0.7500  0.2500  0.5000
Cs  0.2500  0.7500  0.5000
Rb  0.0000  0.0000  0.0000
In  0.4112  0.4112  0.1776
In  0.5888  0.5888  0.8224

Values from the calculation:
Its calculated volume is 299.3 Å³/f.u. As for the space group: No. 139. The calculation puts the formation energy at 0.0713 eV per atom. The relative energy among the computed polymorphs comes out at 0.090 eV per atom. As for the total moment: 0.9 Bohr magnetons per cell.


No. 7
CsRb2In: relaxed, PBE.

a = 6.0454 Å, b = 6.0454 Å, c = 15.1822 Å
α = 78.52°, β = 78.52°, γ = 90.00°
Sites, in units of the cell vectors:
Cs  0.0000  0.0000  0.0000
Cs  0.7500  0.2500  0.5000
Rb  0.5950  0.1250  0.2500
Rb  0.1550  0.6250  0.2500
Rb  0.3750  0.4050  0.7500
Rb  0.8750  0.8450  0.7500
In  0.5000  0.5000  0.0000
In  0.2500  0.7500  0.5000

Values from the calculation:
Its calculated volume is 266.2 Å³/f.u. As for the space group: No. 122. The calculation puts the formation energy at 0.1751 eV per atom. The relative energy among the computed polymorphs comes out at 0.097 eV per atom. As for the total moment: 0.0 Bohr magnetons per cell.


No. 8
CsRb3In8: relaxed, PBE.

a = 6.8069 Å, b = 6.8069 Å, c = 10.4503 Å
α = 90.00°, β = 90.00°, γ = 120.00°
Sites, in units of the cell vectors:
Cs  0.0000  0.0000  0.5583
Rb  0.6667  0.3333  0.4386
Rb  0.6667  0.3333  0.0632
Rb  0.0000  0.0000  0.9401
In  0.3333  0.6667  0.5055
In  0.3333  0.6667  0.9949
In  0.5000  0.0000  0.7525
In  0.5000  0.5000  0.7525
In  0.0000  0.5000  0.7525
In  0.1713  0.3426  0.2473
In  0.1713  0.8287  0.2473
In  0.6574  0.8287  0.2473

Values from the calculation:
Its calculated volume is 419.3 Å³/f.u. As for the space group: No. 156. The calculation puts the formation energy at -0.0872 eV per atom. As for the total moment: 0.0 Bohr magnetons per cell.